Run A
## MgScSe (PBE)

Data for crystalline MgScSe at its relaxed geometry.

Total moment = 0.7 μB/f.u.

```
3
Lattice="-2.420 -1.878 -3.484 1.404 -3.985 -1.915 -2.430 -3.890 0.696" Properties=species:S:1:pos:R:3 pbc="T T T"
Mg 0.000 0.000 0.000
Sc -1.723 -4.877 -2.352
Se -0.861 -2.438 -1.176
```

Run B
## MgScSe (PBE)

Data for crystalline MgScSe at its relaxed geometry.

Total moment = 0.9 μB/f.u.

```
3
Lattice="4.745 0.000 0.000 2.373 4.109 0.000 2.373 1.370 3.874" Properties=species:S:1:pos:R:3 pbc="T T T"
Mg 4.745 2.740 1.937
Sc 2.373 1.370 0.969
Se 0.000 0.000 0.000
```

What should be chosen as the least stable of them? Choose run B.